Entry 1:
# GdMgGa2 | Alexandria via LeMat-Bulk | PBE-GGA | relaxed
data_GdMgGa2
_cell_length_a 4.4700
_cell_length_b 4.4700
_cell_length_c 4.2056
_cell_angle_alpha 90.00
_cell_angle_beta 90.00
_cell_angle_gamma 90.00
_symmetry_space_group_name_H-M 'P 4/m m m'
_symmetry_Int_Tables_number 123
_symmetry_space_group_name_Hall '-P 4 2'
loop_
_atom_site_label
_atom_site_type_symbol
_atom_site_fract_x
_atom_site_fract_y
_atom_site_fract_z
_atom_site_occupancy
Gd1 Gd 0.0000 0.0000 0.0000 1
Mg1 Mg 0.5000 0.5000 0.0000 1
Ga1 Ga 0.0000 0.5000 0.5000 1
# Total energy: -5.880 eV per atom
# M_tot: 7.136 μB/cell


Entry 2:
# GdMg2Ga | Alexandria via LeMat-Bulk | PBE-GGA | relaxed
data_GdMg2Ga
_cell_length_a 3.2034
_cell_length_b 3.2034
_cell_length_c 33.0032
_cell_angle_alpha 90.00
_cell_angle_beta 90.00
_cell_angle_gamma 120.00
_symmetry_space_group_name_H-M 'R -3 m'
_symmetry_Int_Tables_number 166
_symmetry_space_group_name_Hall '-R 3 2"'
loop_
_atom_site_label
_atom_site_type_symbol
_atom_site_fract_x
_atom_site_fract_y
_atom_site_fract_z
_atom_site_occupancy
Gd1 Gd 0.0000 0.0000 0.0000 1
Mg1 Mg 0.0000 0.0000 0.0978 1
Ga1 Ga 0.0000 0.0000 0.5000 1
# Total energy: -4.958 eV per atom
# M_tot: 22.328 μB/cell


Entry 3:
# GdMgGa | Alexandria via LeMat-Bulk | PBE-GGA | relaxed
data_GdMgGa
_cell_length_a 3.3798
_cell_length_b 3.3798
_cell_length_c 12.2802
_cell_angle_alpha 90.00
_cell_angle_beta 90.00
_cell_angle_gamma 90.00
_symmetry_space_group_name_H-M 'I 4 m m'
_symmetry_Int_Tables_number 107
_symmetry_space_group_name_Hall 'I 4 -2'
loop_
_atom_site_label
_atom_site_type_symbol
_atom_site_fract_x
_atom_site_fract_y
_atom_site_fract_z
_atom_site_occupancy
Gd1 Gd 0.0000 0.0000 0.0000 1
Mg1 Mg 0.0000 0.0000 0.2964 1
Ga1 Ga 0.0000 0.0000 0.6594 1
# Total energy: -6.533 eV per atom
# M_tot: 14.706 μB/cell